Below is a relaxed structure of ZnFe, with properties calculated at the PBEsol level.

The structure in extended XYZ format:
```
8
Lattice="-0.152 -0.481 -4.127 -2.840 -3.434 0.505 -3.952 3.234 -0.232" Properties=species:S:1:pos:R:3 pbc="T T T"
Zn -3.748 2.409 -1.191
Zn -3.195 -3.091 -2.664
Fe -4.779 1.036 -3.087
Fe -5.184 -1.511 -2.775
Fe -2.164 -1.718 -0.767
Zn -4.175 -0.120 -0.880
Fe -1.759 0.830 -1.080
Zn -2.768 -0.561 -2.975
```

Calculated values
For the total magnetization, the calculation gives 8.482 μB/cell. Its electronic total energy is -41.82 eV for the cell shown. Its density is 8.45 g/cm3. The value obtained for the density of states at the Fermi level is 0.5617 states/eV per atom. Its energy of formation from the pure elements is 0.046 eV/atom.

Below is a relaxed structure of ZnFe, with properties calculated at the PBEsol level.

The structure in extended XYZ format:
```
4
Lattice="-1.027 -0.432 2.227 2.766 -3.136 0.668 2.909 2.974 1.918" Properties=species:S:1:pos:R:3 pbc="T T T"
Fe 2.072 -0.554 2.241
Zn 4.010 1.118 2.066
Zn -0.232 0.072 1.299
Fe 1.705 1.744 1.125
```

Calculated values
For the total magnetization, the calculation gives 4.411 μB/cell. Its electronic total energy is -20.69 eV for the cell shown. Its density is 8.34 g/cm3. The value obtained for the density of states at the Fermi level is 0.6608 states/eV per atom. Its energy of formation from the pure elements is 0.099 eV/atom.

Below is a relaxed structure of Zn4Fe5, with properties calculated at the PBEsol level.

The structure in extended XYZ format:
```
9
Lattice="-0.294 3.624 0.142 -3.737 1.362 4.107 3.890 1.998 3.683" Properties=species:S:1:pos:R:3 pbc="T T T"
Fe -1.323 1.664 1.394
Zn 1.409 1.791 3.821
Zn -0.148 3.538 2.630
Fe 1.176 1.873 1.255
Zn -1.256 1.569 3.969
Fe 2.420 3.749 2.570
Fe -2.708 3.321 2.856
Zn 0.008 3.446 5.302
Fe 0.000 0.000 0.000
```

Calculated values
For the total magnetization, the calculation gives 11.076 μB/cell. Its electronic total energy is -50.90 eV for the cell shown. Its density is 8.40 g/cm3. The value obtained for the density of states at the Fermi level is 0.4839 states/eV per atom. Its energy of formation from the pure elements is 0.028 eV/atom.